A.
# PBE FeP2Ru, relaxed
# Volume in Å³/f.u.: 53
# D(E_F) in states/eV per cell: 2.576
# Spin magnetization in μB/cell: 1.5
data_FeP2Ru
_chemical_formula_sum 'Fe1 P2 Ru1'
_symmetry_space_group_name_H-M 'P m m m'
_symmetry_Int_Tables_number 47
_symmetry_space_group_name_Hall '-P 2 2'
_cell_length_a 2.8163
_cell_length_b 3.7248
_cell_length_c 5.0377
_cell_angle_alpha 90.00
_cell_angle_beta 90.00
_cell_angle_gamma 90.00
loop_
_atom_site_label
_atom_site_fract_x
_atom_site_fract_y
_atom_site_fract_z
Fe1 0.0000 0.0000 0.0000
P1 0.0000 0.5000 0.5000
P2 0.5000 0.5000 0.0000
Ru1 0.5000 0.0000 0.5000


B.
# PBE FeP2Ru, relaxed
# Volume in Å³/f.u.: 49
# D(E_F) in states/eV per cell: 2.833
# Spin magnetization in μB/cell: 0.8
data_FeP2Ru
_chemical_formula_sum 'Fe1 P2 Ru1'
_symmetry_space_group_name_H-M 'P 1 2/m 1'
_symmetry_Int_Tables_number 10
_symmetry_space_group_name_Hall '-P 2y'
_cell_length_a 3.9202
_cell_length_b 2.8368
_cell_length_c 4.8096
_cell_angle_alpha 90.00
_cell_angle_beta 113.30
_cell_angle_gamma 90.00
loop_
_atom_site_label
_atom_site_fract_x
_atom_site_fract_y
_atom_site_fract_z
Fe1 0.0000 0.0000 0.0000
P1 0.0000 0.0000 0.5000
P2 0.5000 0.5000 0.0000
Ru1 0.5000 0.5000 0.5000


Energy ordering: B at the bottom, the next structure 340 meV/atom above.


A.
# PBE FeP2Ru, relaxed
# Volume in Å³/f.u.: 50
# D(E_F) in states/eV per cell: 2.679
# Spin magnetization in μB/cell: 1.6
data_FeP2Ru
_chemical_formula_sum 'Fe1 P2 Ru1'
_symmetry_space_group_name_H-M 'P 4 m m'
_symmetry_Int_Tables_number 99
_symmetry_space_group_name_Hall 'P 4 -2'
_cell_length_a 3.1234
_cell_length_b 3.1234
_cell_length_c 5.1126
_cell_angle_alpha 90.00
_cell_angle_beta 90.00
_cell_angle_gamma 90.00
loop_
_atom_site_label
_atom_site_fract_x
_atom_site_fract_y
_atom_site_fract_z
Fe1 0.0000 0.0000 0.0000
P1 0.0000 0.0000 0.4442
P2 0.5000 0.5000 0.1242
Ru1 0.5000 0.5000 0.6222


B.
# PBE FeP2Ru, relaxed
# Volume in Å³/f.u.: 48
# D(E_F) in states/eV per cell: 2.214
# Spin magnetization in μB/cell: 1.1
data_FeP2Ru
_chemical_formula_sum 'Fe1 P2 Ru1'
_symmetry_space_group_name_H-M 'P 4/m m m'
_symmetry_Int_Tables_number 123
_symmetry_space_group_name_Hall '-P 4 2'
_cell_length_a 2.8960
_cell_length_b 2.8960
_cell_length_c 5.6848
_cell_angle_alpha 90.00
_cell_angle_beta 90.00
_cell_angle_gamma 90.00
loop_
_atom_site_label
_atom_site_fract_x
_atom_site_fract_y
_atom_site_fract_z
Fe1 0.0000 0.0000 0.0000
P1 0.5000 0.5000 0.2330
Ru1 0.0000 0.0000 0.5000


Energy ordering: A at the bottom, the next structure 91 meV/atom above.


A.
# PBE FeP2Ru, relaxed
# Volume in Å³/f.u.: 53
# D(E_F) in states/eV per cell: 9.233
# Spin magnetization in μB/cell: 14.1
data_FeP2Ru
_chemical_formula_sum 'Fe4 P8 Ru4'
_symmetry_space_group_name_H-M 'F -4 3 m'
_symmetry_Int_Tables_number 216
_symmetry_space_group_name_Hall 'F -4 2 3'
_cell_length_a 5.9461
_cell_length_b 5.9461
_cell_length_c 5.9461
_cell_angle_alpha 90.00
_cell_angle_beta 90.00
_cell_angle_gamma 90.00
loop_
_atom_site_label
_atom_site_fract_x
_atom_site_fract_y
_atom_site_fract_z
Fe1 0.0000 0.0000 0.0000
P1 0.0000 0.0000 0.5000
P2 0.2500 0.2500 0.7500
Ru1 0.2500 0.2500 0.2500


B.
# PBE FeP2Ru, relaxed
# Volume in Å³/f.u.: 48
# D(E_F) in states/eV per cell: 11.822
# Spin magnetization in μB/cell: 5.6
data_FeP2Ru
_chemical_formula_sum 'Fe4 P8 Ru4'
_symmetry_space_group_name_H-M 'F m -3 m'
_symmetry_Int_Tables_number 225
_symmetry_space_group_name_Hall '-F 4 2 3'
_cell_length_a 5.7737
_cell_length_b 5.7737
_cell_length_c 5.7737
_cell_angle_alpha 90.00
_cell_angle_beta 90.00
_cell_angle_gamma 90.00
loop_
_atom_site_label
_atom_site_fract_x
_atom_site_fract_y
_atom_site_fract_z
Fe1 0.0000 0.0000 0.0000
P1 0.2500 0.2500 0.2500
Ru1 0.0000 0.0000 0.5000


C.
# PBE FeP2Ru, relaxed
# Volume in Å³/f.u.: 52
# D(E_F) in states/eV per cell: 5.930
# Spin magnetization in μB/cell: 1.8
data_FeP2Ru
_chemical_formula_sum 'Fe2 P4 Ru2'
_symmetry_space_group_name_H-M 'C m m m'
_symmetry_Int_Tables_number 65
_symmetry_space_group_name_Hall '-C 2 2'
_cell_length_a 2.8149
_cell_length_b 5.0469
_cell_length_c 7.3434
_cell_angle_alpha 90.00
_cell_angle_beta 90.00
_cell_angle_gamma 90.00
loop_
_atom_site_label
_atom_site_fract_x
_atom_site_fract_y
_atom_site_fract_z
Fe1 0.0000 0.0000 0.0000
P1 0.0000 0.5000 0.2387
Ru1 0.0000 0.0000 0.5000


D.
# PBE FeP2Ru, relaxed
# Volume in Å³/f.u.: 51
# D(E_F) in states/eV per cell: 3.925
# Spin magnetization in μB/cell: 0.0
data_FeP2Ru
_chemical_formula_sum 'Fe2 P4 Ru2'
_symmetry_space_group_name_H-M 'I m m 2'
_symmetry_Int_Tables_number 44
_symmetry_space_group_name_Hall 'I 2 -2'
_cell_length_a 3.0652
_cell_length_b 3.2695
_cell_length_c 10.1104
_cell_angle_alpha 90.00
_cell_angle_beta 90.00
_cell_angle_gamma 90.00
loop_
_atom_site_label
_atom_site_fract_x
_atom_site_fract_y
_atom_site_fract_z
Fe1 0.0000 0.0000 0.0000
P1 0.0000 0.0000 0.4228
P2 0.0000 0.5000 0.6581
Ru1 0.0000 0.5000 0.2511


Energy ordering: D at the bottom, the next structure 169 meV/atom above.


A.
# PBE FeP2Ru, relaxed
# Volume in Å³/f.u.: 55
# D(E_F) in states/eV per cell: 3.469
# Spin magnetization in μB/cell: 2.1
data_FeP2Ru
_chemical_formula_sum 'Fe1 P2 Ru1'
_symmetry_space_group_name_H-M 'P 1 2/m 1'
_symmetry_Int_Tables_number 10
_symmetry_space_group_name_Hall '-P 2y'
_cell_length_a 3.2984
_cell_length_b 3.7928
_cell_length_c 4.4432
_cell_angle_alpha 90.00
_cell_angle_beta 95.06
_cell_angle_gamma 90.00
loop_
_atom_site_label
_atom_site_fract_x
_atom_site_fract_y
_atom_site_fract_z
Fe1 0.0000 0.0000 0.0000
P1 0.3122 0.5000 0.1946
Ru1 0.5000 0.0000 0.5000


B.
# PBE FeP2Ru, relaxed
# Volume in Å³/f.u.: 49
# D(E_F) in states/eV per cell: 6.560
# Spin magnetization in μB/cell: 0.1
data_FeP2Ru
_chemical_formula_sum 'Fe2 P4 Ru2'
_symmetry_space_group_name_H-M 'C 1 2/m 1'
_symmetry_Int_Tables_number 12
_symmetry_space_group_name_Hall '-C 2y'
_cell_length_a 7.2021
_cell_length_b 2.8517
_cell_length_c 4.8422
_cell_angle_alpha 90.00
_cell_angle_beta 102.26
_cell_angle_gamma 90.00
loop_
_atom_site_label
_atom_site_fract_x
_atom_site_fract_y
_atom_site_fract_z
Fe1 0.0000 0.0000 0.0000
P1 0.2475 0.5000 0.2285
Ru1 0.0000 0.5000 0.5000


Energy ordering: B at the bottom, the next structure 220 meV/atom above.


A.
# PBE FeP2RuS, relaxed
# Volume in Å³/f.u.: 100
# D(E_F) in states/eV per cell: 6.763
# Spin magnetization in μB/cell: 3.4
data_FeP2RuS
_chemical_formula_sum 'Fe1 P2 Ru1 S1'
_symmetry_space_group_name_H-M 'P 4/m m m'
_symmetry_Int_Tables_number 123
_symmetry_space_group_name_Hall '-P 4 2'
_cell_length_a 4.3957
_cell_length_b 4.3957
_cell_length_c 5.1848
_cell_angle_alpha 90.00
_cell_angle_beta 90.00
_cell_angle_gamma 90.00
loop_
_atom_site_label
_atom_site_fract_x
_atom_site_fract_y
_atom_site_fract_z
Fe1 0.0000 0.0000 0.0000
P1 0.0000 0.5000 0.5000
Ru1 0.5000 0.5000 0.5000
S1 0.5000 0.5000 0.0000


B.
# PBE FeP2RuS, relaxed
# Volume in Å³/f.u.: 78
# D(E_F) in states/eV per cell: 3.528
# Spin magnetization in μB/cell: 0.0
data_FeP2RuS
_chemical_formula_sum 'Fe1 P2 Ru1 S1'
_symmetry_space_group_name_H-M 'P 4/m m m'
_symmetry_Int_Tables_number 123
_symmetry_space_group_name_Hall '-P 4 2'
_cell_length_a 4.1952
_cell_length_b 4.1952
_cell_length_c 4.4443
_cell_angle_alpha 90.00
_cell_angle_beta 90.00
_cell_angle_gamma 90.00
loop_
_atom_site_label
_atom_site_fract_x
_atom_site_fract_y
_atom_site_fract_z
Fe1 0.0000 0.0000 0.0000
P1 0.0000 0.5000 0.0000
Ru1 0.5000 0.5000 0.5000
S1 0.0000 0.0000 0.5000


Energy ordering: B at the bottom, the next structure 100 meV/atom above.


A.
# PBE FeSi2PRu, relaxed
# Volume in Å³/f.u.: 76
# D(E_F) in states/eV per cell: 6.352
# Spin magnetization in μB/cell: 0.0
data_FeSi2PRu
_chemical_formula_sum 'Fe1 Si2 P1 Ru1'
_symmetry_space_group_name_H-M 'P 4/m m m'
_symmetry_Int_Tables_number 123
_symmetry_space_group_name_Hall '-P 4 2'
_cell_length_a 4.3155
_cell_length_b 4.3155
_cell_length_c 4.0984
_cell_angle_alpha 90.00
_cell_angle_beta 90.00
_cell_angle_gamma 90.00
loop_
_atom_site_label
_atom_site_fract_x
_atom_site_fract_y
_atom_site_fract_z
Fe1 0.0000 0.0000 0.0000
Si1 0.0000 0.5000 0.0000
P1 0.0000 0.0000 0.5000
Ru1 0.5000 0.5000 0.5000


B.
# PBE FeSi2PRu, relaxed
# Volume in Å³/f.u.: 97
# D(E_F) in states/eV per cell: 4.717
# Spin magnetization in μB/cell: 3.7
data_FeSi2PRu
_chemical_formula_sum 'Fe1 Si2 P1 Ru1'
_symmetry_space_group_name_H-M 'P 4/m m m'
_symmetry_Int_Tables_number 123
_symmetry_space_group_name_Hall '-P 4 2'
_cell_length_a 4.4612
_cell_length_b 4.4612
_cell_length_c 4.8724
_cell_angle_alpha 90.00
_cell_angle_beta 90.00
_cell_angle_gamma 90.00
loop_
_atom_site_label
_atom_site_fract_x
_atom_site_fract_y
_atom_site_fract_z
Fe1 0.0000 0.0000 0.0000
Si1 0.0000 0.5000 0.5000
P1 0.5000 0.5000 0.0000
Ru1 0.0000 0.0000 0.5000


Energy ordering: A at the bottom, the next structure 94 meV/atom above.